ThAsF: relaxed, GGA-PBE.

Unit cell a=4.636 b=8.393 c=8.394 alpha=90.00 beta=90.00 gamma=90.00
Element x y z (fractional)
F 0.000 0.529 0.750
Th 0.500 0.529 0.750
As 0.500 0.779 0.500
Th 0.500 0.029 0.250
As 0.500 0.279 0.000
As 0.500 0.279 0.500
F 0.000 0.029 0.250
F 0.000 0.029 0.750
F 0.000 0.529 0.250
Th 0.500 0.029 0.750
Th 0.500 0.529 0.250
As 0.500 0.779 0.000

E above lowest polymorph: 162 meV/atom
Total energy: -6.886 eV/atom
Symmetry: No. 123
Formation energy without anion corrections: -2.239 eV/atom